{
  "formula": "YHoSn2Pd4",
  "functional": "PBE-GGA",
  "state": "optimized geometry",
  "energy_ev_per_atom": -5.86,
  "lattice": [[-2.1035, 3.4154, -2.2104], [-2.4636, -3.3781, 1.8695], [-0.5326, 4.6172, 7.6411]],
  "species": ["Pd", "Sn", "Sn", "Pd", "Ho", "Pd", "Y", "Pd"],
  "frac_coords": [[0.6667, 0.3333, 0.8368], [0.3333, 0.6667, 0.7497], [0.3333, 0.6667, 0.2503], [0.0000, 0.0000, 0.3347], [0.0000, 0.0000, 0.0000], [0.0000, 0.0000, 0.6653], [0.6667, 0.3333, 0.5000], [0.6667, 0.3333, 0.1632]]
}

{
  "formula": "SrHoPd",
  "functional": "PBE-GGA",
  "state": "optimized geometry",
  "polymorph_energy_ev_per_atom": 0.0000,
  "energy_ev_per_atom": -4.14,
  "lattice": [[0.0000, 3.5670, 3.5670], [3.5670, 0.0000, 3.5670], [3.5670, 3.5670, 0.0000]],
  "species": ["Ho", "Pd", "Sr"],
  "frac_coords": [[0.5000, 0.5000, 0.5000], [0.2500, 0.2500, 0.2500], [0.0000, 0.0000, 0.0000]]
}